1.
Material: Pm3Sm5Ho
Method: DFT, PBE-GGA
State: optimized geometry

```
18
Lattice="7.686 -5.826 0.000 7.686 5.826 0.000 -6.342 0.000 7.615" Properties=species:S:1:pos:R:3 pbc="T T T"
Pm 0.000 0.000 0.000
Pm -1.918 0.000 2.414
Pm 6.507 0.000 1.124
Pm 4.515 0.000 3.807
Pm 2.522 0.000 6.491
Pm 10.948 0.000 5.201
Sm 0.542 2.938 5.786
Sm -1.159 0.000 5.553
Sm 4.515 2.951 3.807
Sm 1.348 0.000 3.454
Sm 8.487 2.938 1.829
Sm 0.542 -2.938 5.786
Sm 7.681 0.000 4.161
Sm 4.515 -2.951 3.807
Sm 10.189 0.000 2.062
Sm 8.487 -2.938 1.829
Ho 3.271 0.000 0.722
Ho 5.759 0.000 6.893
```

Computed properties:
- Density of states at the Fermi level: 27.002 states/eV/cell
- Energy relative to the elements: 47.4 kJ per mole of atoms
- Crystal system: monoclinic
- Magnetic moment: 0.0000 μB per atom

2.
Material: Pm2Sm5Ho12
Method: DFT, PBE-GGA
State: optimized geometry

```
19
Lattice="6.172 0.000 0.000 -0.019 9.446 0.000 -1.022 -2.042 10.431" Properties=species:S:1:pos:R:3 pbc="T T T"
Pm 0.003 2.022 4.941
Pm 5.128 5.382 5.490
Sm 1.018 8.088 4.389
Sm 2.048 3.371 0.546
Sm 3.086 0.000 0.000
Sm 3.083 4.033 9.885
Sm 4.113 -0.684 6.042
Ho -0.003 0.674 1.638
Ho -0.006 3.356 8.242
Ho 1.012 6.746 1.091
Ho 1.027 -0.012 7.698
Ho 2.054 4.717 3.837
Ho 2.040 6.053 7.143
Ho 3.091 1.351 3.289
Ho 3.077 2.688 6.594
Ho 4.104 7.417 2.734
Ho 4.119 0.658 9.340
Ho 5.137 4.048 2.189
Ho 5.134 6.731 8.794
```

Computed properties:
- Density of states at the Fermi level: 25.934 states/eV/cell
- Energy relative to the elements: 1.8 kJ per mole of atoms
- Polymorph energy (0 for the lowest one): 0 meV per atom
- Crystal system: triclinic
- Magnetic moment: 0.0000 μB per atom